[1]
# FeP2Pt, relaxed, DFT GGA-PBE
# Relative energy among the computed polymorphs ... 29 meV/atom
# DOS at the Fermi energy ... 3.8 states/eV/cell
# Formation energy ... -31.51 kJ/mol of atoms
data_FeP2Pt
_chemical_formula_sum 'Fe2 P4 Pt2'
_space_group_name_H-M_alt 'A m m 2'
_space_group_IT_number 38
_space_group_name_Hall 'A 2 -2'
_cell_length_a 3.480
_cell_length_b 2.811
_cell_length_c 11.695
_cell_angle_alpha 90.00
_cell_angle_beta 90.00
_cell_angle_gamma 90.00
loop_
_atom_site_label
_atom_site_type_symbol
_atom_site_fract_x
_atom_site_fract_y
_atom_site_fract_z
Fe1 Fe 0.000 0.000 0.000
P1 P 0.000 0.000 0.653
P2 P 0.500 0.000 0.455
Pt1 Pt 0.500 0.000 0.789

=====

[2]
# FePPt2, relaxed, DFT GGA-PBE
# DOS at the Fermi energy ... 2.9 states/eV/cell
# Formation energy ... -12.75 kJ/mol of atoms
data_FePPt2
_chemical_formula_sum 'Fe1 P1 Pt2'
_space_group_name_H-M_alt 'P 4 m m'
_space_group_IT_number 99
_space_group_name_Hall 'P 4 -2'
_cell_length_a 2.861
_cell_length_b 2.861
_cell_length_c 6.698
_cell_angle_alpha 90.00
_cell_angle_beta 90.00
_cell_angle_gamma 90.00
loop_
_atom_site_label
_atom_site_type_symbol
_atom_site_fract_x
_atom_site_fract_y
_atom_site_fract_z
Fe1 Fe 0.000 0.000 0.000
P1 P 0.500 0.500 0.175
Pt1 Pt 0.000 0.000 0.419
Pt2 Pt 0.500 0.500 0.735

=====

The highest DOS at the Fermi energy belongs to which entry?
FeP2Pt